Entry 1:
Compound: HfTiSnF2
Source: the Alexandria database
Functional: PBE
Structure: relaxed

```
HfTiSnF2
1.0
4.2576 0.0000 0.0000
0.0000 4.2576 0.0000
0.0000 0.0000 5.9673
Hf Ti Sn F
1 1 1 2
Cartesian
0.0000 0.0000 0.0000 Hf
2.1288 2.1288 0.0000 Ti
2.1288 2.1288 2.9837 Sn
0.0000 2.1288 2.9837 F
2.1288 0.0000 2.9837 F
```

- Magnetization: 0.3 μB per formula unit
- DOS at the Fermi energy: 6.51 states/eV per cell
- Energy relative to the elements, uncorrected: -0.357 eV/atom
- Crystal system: tetragonal
- Total energy: -0.201 hartree per atom

Entry 2:
Compound: Sc3GaIr
Source: the Alexandria database
Functional: PBE
Structure: relaxed

```
Sc3GaIr
1.0
6.6204 0.0000 0.0000
0.0000 6.6204 0.0000
0.0000 0.0000 6.6204
Sc Ga Ir
9 3 3
Cartesian
0.0000 0.0000 0.0000 Sc
1.7554 1.7554 1.7554 Sc
1.7554 1.7554 4.8650 Sc
1.7554 4.8650 1.7554 Sc
1.7554 4.8650 4.8650 Sc
4.8650 1.7554 1.7554 Sc
4.8650 1.7554 4.8650 Sc
4.8650 4.8650 1.7554 Sc
4.8650 4.8650 4.8650 Sc
0.0000 0.0000 3.3102 Ga
0.0000 3.3102 0.0000 Ga
3.3102 0.0000 0.0000 Ga
0.0000 3.3102 3.3102 Ir
3.3102 0.0000 3.3102 Ir
3.3102 3.3102 0.0000 Ir
```

- Magnetization: 0.3 μB per formula unit
- DOS at the Fermi energy: 12.11 states/eV per cell
- Distance to the lowest polymorph of the same formula: 0.0 meV/atom
- Crystal system: cubic
- Total energy: -0.250 hartree per atom

Entry 3:
Compound: Tm3Si4Tc2
Source: the Alexandria database
Functional: PBE
Structure: relaxed

```
Tm3Si4Tc2
1.0
5.2903 -2.0798 0.0000
5.2903 2.0798 0.0000
-2.7304 0.0000 7.5983
Tm Si Tc
3 4 2
Cartesian
0.0000 0.0000 0.0000 Tm
3.1548 0.0000 2.3065 Tm
4.6954 0.0000 5.2918 Tm
-0.1250 0.0000 3.1744 Si
0.4821 0.0000 7.0418 Si
7.3681 0.0000 0.5565 Si
7.9752 0.0000 4.4239 Si
1.6285 0.0000 4.9412 Tc
6.2217 0.0000 2.6572 Tc
```

- Magnetization: 0.0 μB per formula unit
- DOS at the Fermi energy: 4.37 states/eV per cell
- Energy relative to the elements, uncorrected: -0.720 eV/atom
- Crystal system: monoclinic
- Total energy: -0.254 hartree per atom

Entry 4:
Compound: Ca2BeAgC
Source: the Alexandria database
Functional: PBE
Structure: relaxed

```
Ca2BeAgC
1.0
5.2518 0.0000 0.0000
0.0000 5.2518 0.0000
0.0000 0.0000 3.4366
Ca Be Ag C
2 1 1 1
Cartesian
0.0000 2.6259 0.0000 Ca
2.6259 0.0000 0.0000 Ca
0.0000 0.0000 1.7183 Be
2.6259 2.6259 1.7183 Ag
0.0000 0.0000 0.0000 C
```

- Magnetization: 0.0 μB per formula unit
- DOS at the Fermi energy: 2.05 states/eV per cell
- Crystal system: tetragonal
- Total energy: -0.147 hartree per atom

Entry 5:
Compound: Tm2CoH
Source: the Alexandria database
Functional: PBE
Structure: relaxed

```
Tm2CoH
1.0
1.8361 1.0601 5.9426
-1.8361 1.0601 5.9426
0.0000 -2.1201 5.9426
Tm Co H
2 1 1
Cartesian
0.0000 0.0000 4.3775 Tm
0.0000 0.0000 13.4502 Tm
0.0000 0.0000 0.0000 Co
0.0000 0.0000 8.9139 H
```

- Magnetization: 0.0 μB per formula unit
- DOS at the Fermi energy: 1.23 states/eV per cell
- Distance to the lowest polymorph of the same formula: 0.0 meV/atom
- Crystal system: trigonal
- Total energy: -0.186 hartree per atom

Entry 6:
Compound: SmVSi
Source: the Alexandria database
Functional: PBE
Structure: relaxed

```
SmVSi
1.0
5.8592 0.0000 0.0000
0.0000 4.3469 0.0000
-2.8947 0.0000 9.3986
Sm V Si
4 4 4
Cartesian
0.0000 0.0000 0.0000 Sm
-1.4129 0.0000 5.9608 Sm
1.2080 2.1734 6.7313 Sm
3.5952 2.1734 4.1263 Sm
-0.4431 0.0000 2.8609 V
1.0616 2.1734 2.5891 V
2.5450 2.1734 0.4715 V
2.8601 0.0000 1.9018 V
-1.8428 2.1734 7.6717 Si
0.0853 0.0000 8.6702 Si
1.5857 0.0000 4.2944 Si
4.6759 2.1734 1.6087 Si
```

- Magnetization: 0.4 μB per formula unit
- DOS at the Fermi energy: 10.36 states/eV per cell
- Energy relative to the elements, uncorrected: -0.221 eV/atom
- Crystal system: monoclinic
- Total energy: -0.244 hartree per atom

Entry 7:
Compound: CoIrSe2
Source: the Alexandria database
Functional: PBE
Structure: relaxed

```
CoIrSe2
1.0
1.4717 -2.6323 0.0000
1.4717 2.6323 0.0000
0.0000 0.0000 8.2671
Co Ir Se
1 1 2
Cartesian
0.0000 0.0000 0.0000 Co
0.0000 0.0000 4.1336 Ir
1.4717 0.0000 1.9471 Se
1.4717 0.0000 6.3200 Se
```

- Magnetization: 1.3 μB per formula unit
- DOS at the Fermi energy: 4.46 states/eV per cell
- Distance to the lowest polymorph of the same formula: 709.5 meV/atom
- Energy relative to the elements, uncorrected: 0.614 eV/atom
- Crystal system: orthorhombic
- Total energy: -0.188 hartree per atom

Entry 8:
Compound: Hg3Os2O8
Source: the Alexandria database
Functional: PBE
Structure: relaxed

```
Hg3Os2O8
1.0
3.1443 1.8153 10.3998
-3.1443 1.8153 10.3998
0.0000 -3.6307 10.3998
Hg Os O
3 2 8
Cartesian
0.0000 0.0000 0.0000 Hg
0.0000 0.0000 5.8128 Hg
0.0000 0.0000 25.3867 Hg
0.0000 0.0000 12.5179 Os
0.0000 0.0000 18.6816 Os
0.0000 -1.6289 13.0946 O
-1.4106 0.8144 13.0946 O
-1.4106 -0.8144 18.1049 O
0.0000 0.0000 10.7862 O
0.0000 0.0000 20.4133 O
1.4107 0.8144 13.0946 O
1.4106 -0.8144 18.1049 O
0.0000 1.6289 18.1049 O
```

- Magnetization: 0.0 μB per formula unit
- Energy relative to the elements, uncorrected: -0.721 eV/atom
- Crystal system: trigonal
- Total energy: -0.205 hartree per atom